A geometry-optimized HfAlFe2O6 structure. Source: the Alexandria database, functional PBE+U.

a = 5.489 Å, b = 5.489 Å, c = 5.489 Å
α = 56.48°, β = 56.48°, γ = 56.48°
Fractional coordinates of all 10 atoms:
1 Hf 0.000 0.000 0.000
2 Al 0.499 0.499 0.499
3 Fe 0.291 0.291 0.291
4 Fe 0.791 0.791 0.791
5 O 0.129 0.381 0.702
6 O 0.236 0.879 0.589
7 O 0.381 0.702 0.129
8 O 0.589 0.236 0.879
9 O 0.702 0.129 0.381
10 O 0.879 0.589 0.236

Computed properties:
D(E_F): 0.0 states/eV/cell
VASP energy: -7.8777 eV per atom
Total magnetization: 9.00 Bohr magnetons per cell
SG: R3 (146)